## Sc4GaTc2 (PBE)

Data for Sc4GaTc2 after structural relaxation.

Values from the calculation:
E in eV per cell: -100.73
V in Å³ per atom: 19.42
DFT formation energy in eV/atom: -0.1830
Excess energy over the best structure of this formula in the dataset in eV per atom: 0.000
N(E_F) in states/eV/atom: 0.957

a = 4.803 Å, b = 4.803 Å, c = 13.612 Å
α = 90.00°, β = 90.00°, γ = 120.01°
Atoms (fractional coordinates):
Sc: 0.167 0.833 0.867
Sc: 0.167 0.833 0.633
Sc: 0.833 0.167 0.133
Sc: 0.833 0.167 0.367
Sc: 0.166 0.834 0.250
Sc: 0.834 0.166 0.750
Sc: 0.500 0.500 0.000
Sc: 0.500 0.500 0.500
Ga: 0.499 0.501 0.250
Ga: 0.501 0.499 0.750
Tc: 0.833 0.167 0.545
Tc: 0.167 0.833 0.045
Tc: 0.833 0.167 0.955
Tc: 0.167 0.833 0.455